# Mn3IrF | Alexandria via LeMat-Bulk | GGA+U | relaxed
data_Mn3IrF
_cell_length_a 4.307
_cell_length_b 4.307
_cell_length_c 4.307
_cell_angle_alpha 90.00
_cell_angle_beta 90.00
_cell_angle_gamma 90.00
_space_group_name_H-M_alt 'P m -3 m'
_space_group_IT_number 221
_space_group_name_Hall '-P 4 2 3'
loop_
_atom_site_label
_atom_site_fract_x
_atom_site_fract_y
_atom_site_fract_z
_atom_site_occupancy
Mn1 0.000 0.000 0.500 1
Ir1 0.500 0.500 0.500 1
F1 0.000 0.000 0.000 1
# Raw total energy in eV/atom: -6.79
# Excess energy over the best structure of this formula in the dataset in meV per atom: 0